*i*
A plane-wave DFT calculation with PBE was carried out for PmYSnRu after structural relaxation.

Structure (POSCAR):
```
PmYSnRu
1.0
-4.361 -1.499 -0.597
1.312 -3.230 -1.477
2.275 -1.612 5.545
Pm Y Sn Ru
1 1 1 1
direct
0.835 0.500 0.671
0.133 0.000 0.266
0.431 0.000 0.863
0.600 0.500 0.201
```

Computed properties:
The value obtained for the total magnetic moment is 0.00 μB/f.u. The space-group type is Amm2 (38).



*ii*
A plane-wave DFT calculation with PBE was carried out for PmYSnRu after structural relaxation.

Structure (POSCAR):
```
PmYSnRu
1.0
5.145 0.000 0.000
2.572 4.456 0.000
2.572 1.485 4.201
Y Ru Sn Pm
1 1 1 1
direct
0.500 0.500 0.500
0.750 0.750 0.750
0.250 0.250 0.250
0.000 0.000 0.000
```

Computed properties:
The value obtained for the total magnetic moment is 0.00 μB/f.u. The space-group type is F-43m (216).



The most stable of them is *i*.